No. 1
Mn2Al2Hg | GGA-PBE | relaxed

a b c (Å): 7.166 7.166 2.880
angles (deg): 90.00 90.00 90.00
Last column: magnetic moment on the atom in μB.
Element x y z (fractional)
Mn: 0.896 0.604 0.000  0.16
Mn: 0.396 0.896 0.000  0.18
Mn: 0.104 0.396 0.000  0.16
Mn: 0.604 0.104 0.000  0.18
Al: 0.318 0.182 0.500  -0.01
Al: 0.818 0.318 0.500  -0.01
Al: 0.182 0.682 0.500  -0.01
Al: 0.682 0.818 0.500  -0.01
Hg: 0.000 0.000 0.000  -0.01
Hg: 0.500 0.500 0.000  -0.01

total magnetization	0.06	μB per atom
crystal system	tetragonal
excess energy over the best structure of this formula in the dataset	76	meV per atom
energy of formation	0.136	eV/atom
SG	P4/mbm, No. 127

No. 2
La3YAs | GGA-PBE | relaxed

a b c (Å): 5.794 5.794 5.794
angles (deg): 90.00 90.00 90.00
Element x y z (fractional)
Y: 0.500 0.500 0.500
La: 0.500 0.000 0.000
La: 0.000 0.000 0.500
La: 0.000 0.500 0.000
As: 0.000 0.000 0.000

total magnetization	0.00	μB per atom
crystal system	cubic
excess energy over the best structure of this formula in the dataset	0	meV per atom
energy of formation	-0.338	eV/atom
SG	Pm-3m, No. 221

No. 3
PmNpSn2 | GGA-PBE | relaxed

a b c (Å): 3.424 3.424 9.110
angles (deg): 90.00 90.00 90.00
Last column: magnetic moment on the atom in μB.
Element x y z (fractional)
Sn: 0.000 0.000 0.746  -0.03
Sn: 0.000 0.000 0.254  -0.03
Np: 0.500 0.500 0.500  4.21
Pm: 0.500 0.500 0.000  -0.09

total magnetization	1.10	μB per atom
crystal system	tetragonal
energy of formation	-0.329	eV/atom
SG	P4/mmm, No. 123

No. 4
RbLiSi3 | GGA-PBE | relaxed

a b c (Å): 4.809 4.809 4.809
angles (deg): 90.00 90.00 90.00
Element x y z (fractional)
Rb: 0.500 0.500 0.500
Si: 0.000 0.000 0.500
Si: 0.000 0.500 0.000
Si: 0.500 0.000 0.000
Li: 0.000 0.000 0.000

total magnetization	0.00	μB per atom
crystal system	cubic
excess energy over the best structure of this formula in the dataset	0	meV per atom
energy relative to the elements, uncorrected	0.7580	eV/atom
SG	Pm-3m, No. 221

No. 5
CePr5Ga6 | GGA-PBE | relaxed

a b c (Å): 5.246 9.102 9.094
angles (deg): 60.01 73.20 54.79
Last column: magnetic moment on the atom in μB.
Element x y z (fractional)
Pr: 0.500 0.500 0.000  0.00
Pr: 0.000 0.667 0.666  -0.01
Pr: 0.500 0.834 0.332  0.00
Pr: 0.000 0.333 0.334  -0.01
Pr: 0.500 0.166 0.668  0.00
Ga: 0.750 0.083 0.333  0.00
Ga: 0.250 0.584 0.333  0.00
Ga: 0.750 0.750 0.000  0.01
Ga: 0.750 0.416 0.667  0.00
Ga: 0.250 0.250 0.000  0.01
Ga: 0.250 0.917 0.667  0.00
Ce: 0.000 0.000 0.000  0.70

total magnetization	0.07	μB per atom
crystal system	monoclinic
energy of formation	-0.523	eV/atom
SG	C2/m, No. 12

No. 6
ScP2Cl | GGA-PBE | relaxed

a b c (Å): 4.872 4.872 2.976
angles (deg): 90.00 90.00 90.00
Element x y z (fractional)
P: 0.500 0.500 0.000
P: 0.000 0.000 0.000
Cl: 0.000 0.500 0.500
Sc: 0.500 0.000 0.500

total magnetization	0.00	μB per atom
crystal system	tetragonal
excess energy over the best structure of this formula in the dataset	924	meV per atom
energy relative to the elements, uncorrected	-0.0067	eV/atom
SG	P4/mmm, No. 123

No. 7
HoTh3Hg4 | GGA-PBE | relaxed

a b c (Å): 3.468 3.468 17.823
angles (deg): 90.00 90.00 90.00
Element x y z (fractional)
Hg: 0.000 0.000 0.628
Hg: 0.000 0.000 0.372
Hg: 0.000 0.000 0.114
Hg: 0.000 0.000 0.886
Th: 0.500 0.500 0.500
Th: 0.500 0.500 0.757
Th: 0.500 0.500 0.243
Ho: 0.500 0.500 0.000

total magnetization	0.00	μB per atom
crystal system	tetragonal
energy of formation	-0.284	eV/atom
SG	P4/mmm, No. 123

No. 8
ZnHPdPt | GGA-PBE | relaxed

a b c (Å): 2.892 2.892 6.045
angles (deg): 103.84 103.39 90.00
Element x y z (fractional)
Zn: 0.953 0.593 0.187
Pt: 0.310 0.948 0.896
H: 0.147 0.794 0.588
Pd: 0.609 0.252 0.504

E_tot	-4.23	eV/atom
total magnetization	0.00	μB per atom
crystal system	monoclinic
SG	Cm, No. 8

- Among the records above, which one has the highest total magnetization?
  PmNpSn2

- Look up the total magnetization of the second one.
  0.00 μB per atom

- Look up the total magnetization of the third one.
  1.10 μB per atom